Model i:
PuSb2Mo | GGA-PBE | optimized geometry

Cell lengths 3.1643, 3.1643, 11.0148 Å; angles 81.74, 81.74, 60.00 degrees
Closest atoms and distances in Å follow each position.
Fractional positions:
Sb: 0.4160 0.4160 0.7519  1 Mo 2.74
Sb: 0.5840 0.5840 0.2481  1 Mo 2.74
Pu: 0.0000 0.0000 0.0000  6 Pu 3.16, 6 Sb 3.26
Mo: 0.5000 0.5000 0.5000  2 Sb 2.74

Model ii:
PuSb2Mo | GGA-PBE | optimized geometry

Cell lengths 3.3815, 3.3815, 7.7150 Å; angles 90.00, 90.00, 90.00 degrees
Closest atoms and distances in Å follow each position.
Fractional positions:
Pu: 0.5000 0.5000 0.5000  8 Sb 3.28, 4 Pu 3.38
Sb: 0.0000 0.0000 0.2081  4 Mo 2.88, 1 Sb 3.21
Sb: 0.0000 0.0000 0.7919  4 Mo 2.88, 1 Sb 3.21
Mo: 0.5000 0.5000 0.0000  8 Sb 2.88

Energy ordering: model ii at the bottom, the next structure 658 meV/atom above.

Model i:
PuScMo | GGA-PBE | optimized geometry

Cell lengths 3.3467, 3.3467, 6.0820 Å; angles 105.97, 105.97, 90.00 degrees
Closest atoms and distances in Å follow each position.
Fractional positions:
Sc: 0.0174 0.0174 0.0348  4 Mo 2.92
Mo: 0.6708 0.6708 0.3416  4 Pu 2.85, 4 Sc 2.92
Pu: 0.3118 0.3118 0.6235  4 Mo 2.85

Model ii:
PuScMo | GGA-PBE | optimized geometry

Cell lengths 5.0339, 5.6800, 9.0781 Å; angles 90.00, 90.00, 90.00 degrees
Closest atoms and distances in Å follow each position.
Fractional positions:
Mo: 0.2500 0.9062 0.5755  2 Pu 2.53-2.65
Mo: 0.7500 0.0938 0.4245  2 Pu 2.53-2.65
Mo: 0.7500 0.4062 0.9245  2 Pu 2.53-2.65
Mo: 0.2500 0.5938 0.0755  2 Pu 2.53-2.65
Sc: 0.2500 0.1240 0.9446  4 Mo 2.92-3.24, 2 Sc 3.05, 4 Pu 3.13-3.26
Sc: 0.7500 0.8760 0.0554  4 Mo 2.92-3.24, 2 Sc 3.05, 4 Pu 3.13-3.26
Sc: 0.7500 0.6240 0.5554  4 Mo 2.92-3.24, 2 Sc 3.05, 4 Pu 3.13-3.26
Sc: 0.2500 0.3760 0.4446  4 Mo 2.92-3.24, 2 Sc 3.05, 4 Pu 3.13-3.26
Pu: 0.2500 0.6113 0.7838  2 Mo 2.53-2.65
Pu: 0.7500 0.1113 0.7162  2 Mo 2.53-2.65
Pu: 0.7500 0.3887 0.2162  2 Mo 2.53-2.65
Pu: 0.2500 0.8887 0.2838  2 Mo 2.53-2.65

Energy ordering: model i at the bottom, the next structure 8 meV/atom above.

Model i:
PuTcMo | GGA-PBE | optimized geometry

Cell lengths 3.1146, 3.1146, 6.0729 Å; angles 104.86, 104.86, 90.00 degrees
Closest atoms and distances in Å follow each position.
Fractional positions:
Mo: 0.3116 0.3116 0.6231  4 Tc 2.61
Pu: 0.0009 0.0009 0.0019  4 Tc 3.05, 4 Mo 3.07, 4 Pu 3.11
Tc: 0.6875 0.6875 0.3750  4 Mo 2.61

Model ii:
PuTcMo | GGA-PBE | optimized geometry

Cell lengths 5.4266, 5.4345, 5.3042 Å; angles 86.97, 114.50, 130.31 degrees
Closest atoms and distances in Å follow each position.
Fractional positions:
Pu: 0.2481 0.0047 0.2528  3 Tc 2.60-2.80, 3 Mo 2.69-2.81, 1 Pu 2.88
Pu: 0.7519 0.9953 0.7472  3 Tc 2.60-2.80, 3 Mo 2.69-2.81, 1 Pu 2.88
Tc: 0.6035 0.6777 0.2805  3 Pu 2.60-2.80, 3 Mo 2.85-2.88
Tc: 0.3965 0.3223 0.7195  3 Pu 2.60-2.80, 3 Mo 2.85-2.88
Mo: 0.8925 0.3271 0.2209  3 Pu 2.69-2.81, 4 Tc 2.85-2.93, 1 Mo 2.92
Mo: 0.1075 0.6729 0.7791  3 Pu 2.69-2.81, 4 Tc 2.85-2.93, 1 Mo 2.92

Energy ordering: model i at the bottom, the next structure 44 meV/atom above.

Model i:
PuTh2Mo | GGA-PBE | optimized geometry

Cell lengths 3.4391, 3.4391, 10.9162 Å; angles 80.94, 80.94, 60.00 degrees
Closest atoms and distances in Å follow each position.
Fractional positions:
Mo: 0.5000 0.5000 0.5000  6 Th 2.98
Th: 0.0976 0.0976 0.7073  3 Mo 2.98, 1 Pu 3.14
Th: 0.9024 0.9024 0.2927  3 Mo 2.98, 1 Pu 3.14
Pu: 0.0000 0.0000 0.0000  2 Th 3.14, 6 Pu 3.44

Model ii:
PuTh2Mo | GGA-PBE | optimized geometry

Cell lengths 3.5888, 3.5888, 7.8999 Å; angles 90.00, 90.00, 90.00 degrees
Closest atoms and distances in Å follow each position.
Fractional positions:
Mo: 0.5000 0.5000 0.0000  8 Th 3.09
Th: 0.0000 0.0000 0.7765  4 Mo 3.09, 4 Pu 3.35
Th: 0.0000 0.0000 0.2235  4 Mo 3.09, 4 Pu 3.35
Pu: 0.5000 0.5000 0.5000  8 Th 3.35, 4 Pu 3.59

Energy ordering: model ii at the bottom, the next structure 355 meV/atom above.